Entry 1:
Compound: MgGa2SnO6
Source: the Alexandria database
Functional: PBE
Structure: optimized geometry

## Properties
Space group: R3
Crystal system: trigonal
Electronic total energy (eV per atom): -6.08
Formation energy (no corrections) (eV per atom): -1.940
N(E_F) (states/eV per cell): 0.0

abc: 5.530 5.530 5.530
angles: 56.00 56.00 56.00
Fractional positions:
Mg: 0.000 0.000 0.000
Ga: 0.214 0.214 0.214
Ga: 0.711 0.711 0.711
Sn: 0.502 0.502 0.502
O: 0.092 0.416 0.811
O: 0.314 0.915 0.588
O: 0.416 0.811 0.092
O: 0.588 0.314 0.915
O: 0.811 0.092 0.416
O: 0.915 0.588 0.314


Entry 2:
Compound: MgGaSn2O
Source: the Alexandria database
Functional: PBE
Structure: optimized geometry

## Properties
Space group: P4/mmm
Crystal system: tetragonal
Electronic total energy (eV per atom): -4.04
Formation energy (no corrections) (eV per atom): -0.520
N(E_F) (states/eV per cell): 1.7

abc: 5.204 5.204 3.874
angles: 90.00 90.00 90.00
Fractional positions:
Mg: 0.000 0.000 0.000
Ga: 0.500 0.500 0.000
Sn: 0.000 0.500 0.500
Sn: 0.500 0.000 0.500
O: 0.000 0.000 0.500


Entry 3:
Compound: Sr2MgGaO5
Source: the Alexandria database
Functional: PBE
Structure: optimized geometry

## Properties
Space group: Cmc2_1
Crystal system: orthorhombic
Electronic total energy (eV per atom): -5.91
Formation energy (no corrections) (eV per atom): -2.268
N(E_F) (states/eV per cell): 2.6

abc: 6.985 6.985 10.417
angles: 90.00 90.00 151.53
Fractional positions:
Sr: 0.106 0.894 0.500
Sr: 0.135 0.865 0.126
Sr: 0.865 0.135 0.626
Sr: 0.894 0.106 0.000
Mg: 0.216 0.784 0.841
Mg: 0.784 0.216 0.341
Ga: 0.469 0.531 0.287
Ga: 0.531 0.469 0.787
O: 0.056 0.944 0.865
O: 0.283 0.717 0.468
O: 0.314 0.686 0.232
O: 0.377 0.623 0.821
O: 0.496 0.504 0.111
O: 0.504 0.496 0.611
O: 0.623 0.377 0.321
O: 0.686 0.314 0.732
O: 0.717 0.283 0.968
O: 0.944 0.056 0.365


Entry 4:
Compound: Mg2TaGaO6
Source: the Alexandria database
Functional: PBE
Structure: optimized geometry

## Properties
Space group: P4mm
Crystal system: tetragonal
Electronic total energy (eV per atom): -7.06
Formation energy (no corrections) (eV per atom): -2.283
N(E_F) (states/eV per cell): 0.0

abc: 5.198 5.198 4.823
angles: 90.00 90.00 90.00
Fractional positions:
Mg: 0.000 0.500 0.000
Mg: 0.500 0.000 0.000
Ta: 0.000 0.000 0.646
Ga: 0.500 0.500 0.630
O: 0.000 0.000 0.266
O: 0.250 0.250 0.789
O: 0.250 0.750 0.789
O: 0.500 0.500 0.258
O: 0.750 0.250 0.789
O: 0.750 0.750 0.789


Entry 5:
Compound: MgTa2GaO
Source: the Alexandria database
Functional: PBE
Structure: optimized geometry

## Properties
Space group: P4/mmm
Crystal system: tetragonal
Electronic total energy (eV per atom): -7.14
Formation energy (no corrections) (eV per atom): -0.486
N(E_F) (states/eV per cell): 4.0

abc: 4.275 4.275 4.133
angles: 90.00 90.00 90.00
Fractional positions:
Mg: 0.000 0.000 0.000
Ta: 0.000 0.500 0.500
Ta: 0.500 0.000 0.500
Ga: 0.500 0.500 0.000
O: 0.000 0.000 0.500


Entry 6:
Compound: MgGaTcO2
Source: the Alexandria database
Functional: PBE
Structure: optimized geometry

## Properties
Space group: P4/mmm
Crystal system: tetragonal
Electronic total energy (eV per atom): -5.58
Formation energy (no corrections) (eV per atom): -0.603
N(E_F) (states/eV per cell): 2.3

abc: 3.818 3.818 5.730
angles: 90.00 90.00 90.00
Fractional positions:
Mg: 0.000 0.000 0.000
Ga: 0.500 0.500 0.000
Tc: 0.000 0.000 0.500
O: 0.000 0.500 0.500
O: 0.500 0.000 0.500